Record 1
Density functional theory data (GGA-PBE) for a geometry-optimized Dy4Pd7Pt6 structure.

abc: 7.388 7.388 7.388
angles: 109.47 109.47 109.47
Atoms (fractional coordinates):
1 Dy 0.000 0.000 0.500
2 Dy 0.000 0.500 0.000
3 Dy 0.500 0.000 0.000
4 Dy 0.500 0.500 0.500
5 Pd 0.000 0.000 0.000
6 Pd 0.250 0.500 0.750
7 Pd 0.250 0.750 0.500
8 Pd 0.500 0.250 0.750
9 Pd 0.500 0.750 0.250
10 Pd 0.750 0.250 0.500
11 Pd 0.750 0.500 0.250
12 Pt 0.000 0.300 0.300
13 Pt 0.000 0.700 0.700
14 Pt 0.300 0.000 0.300
15 Pt 0.300 0.300 0.000
16 Pt 0.700 0.000 0.700
17 Pt 0.700 0.700 0.000

Output
Size of the total moment = 0.0 μB per formula unit
Space-group type = No. 229
Raw total energy = -104.741 eV for the cell shown

Record 2
Density functional theory data (GGA-PBE) for a geometry-optimized YGe structure.

abc: 5.060 5.060 5.759
angles: 90.00 90.00 120.00
Atoms (fractional coordinates):
1 Y 0.333 0.667 0.250
2 Y 0.667 0.333 0.750
3 Ge 0.333 0.667 0.750
4 Ge 0.667 0.333 0.250

Output
Size of the total moment = 0.0 μB per formula unit
Space-group type = No. 194
Raw total energy = -23.474 eV for the cell shown

Record 3
Density functional theory data (GGA-PBE) for a geometry-optimized TbPm2Ag2Pb2 structure.

abc: 9.261 9.261 9.261
angles: 31.11 31.11 31.11
Atoms (fractional coordinates):
1 Tb 0.000 0.000 0.000
2 Pm 0.135 0.135 0.135
3 Pm 0.865 0.865 0.865
4 Ag 0.438 0.438 0.438
5 Ag 0.562 0.562 0.562
6 Pb 0.270 0.270 0.270
7 Pb 0.730 0.730 0.730

Output
Size of the total moment = 0.0 μB per formula unit
Space-group type = No. 166
Raw total energy = -29.082 eV for the cell shown

Record 4
Density functional theory data (GGA-PBE) for a geometry-optimized Pm2Ga3PdPt4 structure.

abc: 4.081 4.081 11.529
angles: 90.00 90.00 90.00
Atoms (fractional coordinates):
1 Pm 0.000 0.500 0.244
2 Pm 0.500 0.000 0.756
3 Ga 0.000 0.000 0.000
4 Ga 0.000 0.500 0.630
5 Ga 0.500 0.000 0.370
6 Pd 0.500 0.500 0.000
7 Pt 0.000 0.000 0.500
8 Pt 0.000 0.500 0.844
9 Pt 0.500 0.000 0.156
10 Pt 0.500 0.500 0.500

Output
Size of the total moment = 0.0 μB per formula unit
Space-group type = No. 115
Raw total energy = -57.130 eV for the cell shown

Record 5
Density functional theory data (GGA-PBE) for a geometry-optimized Sc6CuAu5 structure.

abc: 7.601 7.601 6.763
angles: 90.00 90.00 143.27
Atoms (fractional coordinates):
1 Sc 0.000 0.000 0.249
2 Sc 0.000 0.000 0.751
3 Sc 0.335 0.665 0.246
4 Sc 0.335 0.665 0.754
5 Sc 0.665 0.335 0.246
6 Sc 0.665 0.335 0.754
7 Cu 0.500 0.500 0.000
8 Au 0.159 0.841 0.000
9 Au 0.171 0.829 0.500
10 Au 0.500 0.500 0.500
11 Au 0.829 0.171 0.500
12 Au 0.841 0.159 0.000

Output
Size of the total moment = 0.0 μB per formula unit
Space-group type = No. 65
Raw total energy = -67.104 eV for the cell shown

Record 6
Density functional theory data (GGA-PBE) for a geometry-optimized CeDy2ScS4 structure.

abc: 6.726 3.873 6.762
angles: 90.00 109.25 90.00
Atoms (fractional coordinates):
1 Ce 0.000 0.000 0.000
2 Dy 0.500 0.000 0.500
3 Dy 0.500 0.500 0.000
4 Sc 0.000 0.500 0.500
5 S 0.243 0.000 0.737
6 S 0.252 0.500 0.262
7 S 0.748 0.500 0.738
8 S 0.757 0.000 0.263

Output
Size of the total moment = 0.6 μB per formula unit
Energy relative to the elements, uncorrected = -15.633 eV per formula unit
Space-group type = No. 10